# 1
Entry from the Alexandria database: a geometry-optimized HfNiPb3 structure (PBE-GGA).

POSCAR file:
```
HfNiPb3
1.0
5.101 0.000 0.000
0.000 5.101 0.000
0.000 0.000 5.101
Hf Ni Pb
1 1 3
Cartesian
0.000 0.000 0.000
2.551 2.551 2.551
0.000 2.551 2.551
2.551 0.000 2.551
2.551 2.551 0.000
```

Summary:
space-group type: Pm-3m
volume: 26.6 Å³/atom
ΔH_f (0 K): 0.58 eV/atom
density of states at the Fermi level: 1.2510 states/eV per atom
offset from the most stable computed form: 0.0000 eV per atom

---

# 2
Entry from the Alexandria database: a geometry-optimized Li2TlTc structure (PBE-GGA).

POSCAR file:
```
Li2TlTc
1.0
1.468 0.848 9.710
-1.468 0.848 9.710
0.000 -1.695 9.710
Li Tl Tc
2 1 1
Cartesian
0.000 0.000 7.074
0.000 0.000 22.058
0.000 0.000 0.000
0.000 0.000 14.566
```

Summary:
space-group type: R-3m
volume: 18.1 Å³/atom
ΔH_f (0 K): 0.43 eV/atom
density of states at the Fermi level: 1.1539 states/eV per atom
offset from the most stable computed form: 0.1465 eV per atom

---

# 3
Entry from the Alexandria database: a geometry-optimized AlAgGe2B structure (PBE-GGA).

POSCAR file:
```
AlAgGe2B
1.0
4.967 0.000 0.000
0.000 4.967 0.000
0.000 0.000 4.817
Al Ag Ge B
1 1 2 1
Cartesian
0.000 0.000 0.000
0.000 0.000 2.409
0.000 2.484 2.409
2.484 0.000 2.409
2.484 2.484 0.000
```

Summary:
space-group type: P4/mmm
volume: 23.8 Å³/atom
ΔH_f (0 K): 1.52 eV/atom
density of states at the Fermi level: 0.7080 states/eV per atom

---

# 4
Entry from the Alexandria database: a geometry-optimized K2Ba2Cd structure (PBE-GGA).

POSCAR file:
```
K2Ba2Cd
1.0
9.197 0.000 0.000
0.000 9.197 0.000
0.000 0.000 7.421
K Ba Cd
4 4 2
Cartesian
1.548 3.051 0.000
3.051 7.649 0.000
6.146 1.548 0.000
7.649 6.146 0.000
1.524 6.122 3.710
3.075 1.524 3.710
6.122 7.673 3.710
7.673 3.075 3.710
0.000 0.000 3.710
4.599 4.599 3.710
```

Summary:
space-group type: P4/mbm
volume: 62.8 Å³/atom
ΔH_f (0 K): 0.09 eV/atom
density of states at the Fermi level: 0.7956 states/eV per atom
offset from the most stable computed form: 0.2151 eV per atom

---

# 5
Entry from the Alexandria database: a geometry-optimized Cr4Re3W structure (PBE-GGA).

POSCAR file:
```
Cr4Re3W
1.0
2.998 0.000 0.000
0.000 2.998 0.000
0.000 0.000 11.998
Cr Re W
4 3 1
Cartesian
0.000 0.000 1.482
0.000 0.000 4.484
0.000 0.000 7.515
0.000 0.000 10.516
1.499 1.499 0.000
1.499 1.499 2.990
1.499 1.499 9.008
1.499 1.499 5.999
```

Summary:
space-group type: P4/mmm
volume: 13.5 Å³/atom
ΔH_f (0 K): 0.04 eV/atom
density of states at the Fermi level: 0.5496 states/eV per atom

---

# 6
Entry from the Alexandria database: a geometry-optimized Hf3Zr6O structure (PBE-GGA).

POSCAR file:
```
Hf3Zr6O
1.0
4.856 -8.450 0.000
4.856 8.450 0.000
0.000 0.000 5.154
Hf Zr O
6 12 2
Cartesian
4.856 6.578 2.577
3.240 1.895 0.008
3.240 -1.895 2.585
6.472 1.895 0.008
6.472 -1.895 2.585
4.856 -6.578 0.000
1.610 0.923 2.580
3.246 3.762 2.607
1.610 -0.923 0.003
4.856 4.704 5.153
6.465 3.762 2.607
4.856 0.930 2.623
4.856 -0.930 0.046
3.246 -3.762 0.030
4.856 -4.704 2.576
8.102 0.923 2.580
6.465 -3.762 0.030
8.102 -0.923 0.003
4.856 2.788 1.275
4.856 -2.788 3.852
```

Summary:
space-group type: Cmc2_1
volume: 21.1 Å³/atom
density of states at the Fermi level: 0.5225 states/eV per atom
E_form (uncorrected): -0.5525 eV per atom

---

volume of number 2 (Li2TlTc)?
18.1 Å³/atom

---

The lowest density of states at the Fermi level belongs to which entry?
Hf3Zr6O

---

Which formula does entry 2 have?
Li2TlTc